No. 1
DFT (GGA-PBE) results for a relaxed structure of Pr4InPd2.

Final energy (eV/atom): -5.049
Crystal system: trigonal
Space group: R-3m

a b c (Å): 9.966 9.966 9.966
angles (deg): 29.37 29.37 29.37
Atoms (fractional coordinates):
Pr 0.117 0.117 0.117
Pr 0.294 0.294 0.294
Pr 0.706 0.706 0.706
Pr 0.883 0.883 0.883
In 0.500 0.500 0.500
Pd 0.400 0.400 0.400
Pd 0.600 0.600 0.600

=====

No. 2
DFT (GGA-PBE) results for a relaxed structure of LiCu2H5Rh.

Final energy (eV/atom): -3.870
Crystal system: orthorhombic
Space group: Immm

a b c (Å): 5.369 5.369 5.369
angles (deg): 141.85 128.66 65.73
Atoms (fractional coordinates):
Li 0.000 0.000 0.000
Cu 0.275 0.775 0.500
Cu 0.725 0.225 0.500
H 0.102 0.370 0.732
H 0.362 0.630 0.732
H 0.500 0.000 0.500
H 0.638 0.370 0.268
H 0.898 0.630 0.268
Rh 0.500 0.500 0.000

=====

No. 3
DFT (GGA-PBE) results for a relaxed structure of PIrAuCl2.

Crystal system: tetragonal
Formation energy from raw total energies (kcal/mol of atoms): 11.55
Space group: P4/mmm

a b c (Å): 4.985 4.985 4.454
angles (deg): 90.00 90.00 90.00
Atoms (fractional coordinates):
P 0.000 0.000 0.000
Ir 0.000 0.000 0.500
Au 0.500 0.500 0.000
Cl 0.000 0.500 0.500
Cl 0.500 0.000 0.500

=====

No. 4
DFT (GGA-PBE) results for a relaxed structure of MnTlHg2.

Final energy (eV/atom): -2.701
Crystal system: orthorhombic
Space group: Cmmm

a b c (Å): 5.105 5.105 3.719
angles (deg): 90.00 90.00 106.32
Atoms (fractional coordinates):
Mn 0.000 0.000 0.000
Tl 0.500 0.500 0.000
Hg 0.000 0.500 0.500
Hg 0.500 0.000 0.500

=====

No. 5
DFT (GGA-PBE) results for a relaxed structure of Th2ZrHg.

Final energy (eV/atom): -5.874
Crystal system: cubic
Space group: Fm-3m

a b c (Å): 5.399 5.399 5.399
angles (deg): 60.00 60.00 60.00
Atoms (fractional coordinates):
Th 0.250 0.250 0.250
Th 0.750 0.750 0.750
Zr 0.000 0.000 0.000
Hg 0.500 0.500 0.500

=====

No. 6
DFT (GGA-PBE) results for a relaxed structure of Cu2AgPt2.

Final energy (eV/atom): -4.614
Crystal system: tetragonal
Space group: P4/mbm

a b c (Å): 7.333 7.333 2.830
angles (deg): 90.00 90.00 90.00
Atoms (fractional coordinates):
Cu 0.155 0.345 0.000
Cu 0.345 0.845 0.000
Cu 0.655 0.155 0.000
Cu 0.845 0.655 0.000
Ag 0.000 0.000 0.000
Ag 0.500 0.500 0.000
Pt 0.141 0.641 0.500
Pt 0.359 0.141 0.500
Pt 0.641 0.859 0.500
Pt 0.859 0.359 0.500

=====

No. 7
DFT (GGA-PBE) results for a relaxed structure of AcLa15Sn4.

Final energy (eV/atom): -5.080
Crystal system: tetragonal
Space group: P4/mmm

a b c (Å): 5.077 5.077 25.686
angles (deg): 90.00 90.00 90.00
Atoms (fractional coordinates):
Ac 0.000 0.000 0.000
La 0.000 0.500 0.110
La 0.000 0.500 0.306
La 0.000 0.500 0.500
La 0.000 0.500 0.694
La 0.000 0.500 0.890
La 0.500 0.000 0.110
La 0.500 0.000 0.306
La 0.500 0.000 0.500
La 0.500 0.000 0.694
La 0.500 0.000 0.890
La 0.500 0.500 0.000
La 0.500 0.500 0.209
La 0.500 0.500 0.403
La 0.500 0.500 0.597
La 0.500 0.500 0.791
Sn 0.000 0.000 0.207
Sn 0.000 0.000 0.403
Sn 0.000 0.000 0.597
Sn 0.000 0.000 0.793

=====

No. 8
DFT (GGA-PBE) results for a relaxed structure of Tl4HgBr2F.

Crystal system: monoclinic
Formation energy from raw total energies (kcal/mol of atoms): -17.40
Space group: C2/c

a b c (Å): 9.089 9.089 8.289
angles (deg): 115.98 115.98 88.03
Atoms (fractional coordinates):
Tl 0.182 0.684 0.975
Tl 0.231 0.265 0.997
Tl 0.265 0.231 0.497
Tl 0.316 0.818 0.525
Tl 0.684 0.182 0.475
Tl 0.735 0.769 0.503
Tl 0.769 0.735 0.003
Tl 0.818 0.316 0.025
Hg 0.000 0.000 0.000
Hg 0.000 0.000 0.500
Br 0.000 0.500 0.500
Br 0.500 0.000 0.000
Br 0.500 0.500 0.000
Br 0.500 0.500 0.500
F 0.000 0.500 0.000
F 0.500 0.000 0.500